Record 1
Compound: Ca2Hg4Bi
Source: Alexandria via LeMat-Bulk
Functional: PBE
Structure: optimized geometry

The energy above the most stable polymorph in this dataset is 243 meV/atom. As for the raw total energy: -19.10 eV/cell.

It has space group I4/mmm (No. 139), with a = 5.715 Å, b = 5.715 Å, c = 16.084 Å, α = 90.00°, β = 90.00° and γ = 90.00°. The distinct sites, in fractional coordinates, are Ca at (0.000, 0.000, 0.116), Hg at (0.000, 0.000, 0.305), Hg at (0.000, 0.500, 0.000) and Bi at (0.000, 0.000, 0.500).


Record 2
Compound: Ca2Hg3Bi
Source: Alexandria via LeMat-Bulk
Functional: PBE
Structure: optimized geometry

As for the raw total energy: -92.22 eV/cell.

It has space group Fmmm (No. 69), with a = 7.356 Å, b = 10.164 Å, c = 17.835 Å, α = 90.00°, β = 90.00° and γ = 90.00°. The distinct sites, in fractional coordinates, are Ca at (0.249, 0.000, 0.000), Ca at (0.250, 0.250, 0.250), Hg at (0.000, 0.000, 0.160), Hg at (0.000, 0.246, 0.080) and Bi at (0.000, 0.000, 0.331).


Record 3
Compound: CaHg2Bi2
Source: Alexandria via LeMat-Bulk
Functional: PBE
Structure: optimized geometry

The energy above the most stable polymorph in this dataset is 159 meV/atom. As for the raw total energy: -22.25 eV/cell.

It has space group I4/mmm (No. 139), with a = 4.644 Å, b = 4.644 Å, c = 14.685 Å, α = 90.00°, β = 90.00° and γ = 90.00°. The distinct sites, in fractional coordinates, are Ca at (0.000, 0.000, 0.000), Hg at (0.000, 0.000, 0.403) and Bi at (0.000, 0.500, 0.250).


What is the formula in the first record?
Ca2Hg4Bi


The highest raw total energy belongs to which entry?
Ca2Hg4Bi